Compound: YErSc
Source: Alexandria
Functional: PBE
Structure: optimized geometry

a = 3.3578 Å, b = 3.3820 Å, c = 15.6847 Å
α = 90.00°, β = 90.00°, γ = 90.00°
Space group Pmmn (No. 59, origin choice 2)
One atom of each set of equivalent atoms:
Y (0.2500, 0.2500, 0.0822) x2
Er (0.2500, 0.7500, 0.2770) x2
Sc (0.2500, 0.7500, 0.5722) x2

## Properties
- D(E_F): 10.72 states/eV/cell
- Total magnetization: 0.00 μB per cell
- Final energy: -5.6123 eV per atom
- Formation energy from the elements: 0.174 eV per atom
- Calculated volume: 29.7 Å³/atom
- Offset from the most stable computed form: 125 meV per atom